[1]
K2BrF after structural relaxation, computed with GGA-PBE.

a = 4.923 Å, b = 4.923 Å, c = 9.828 Å
α = 90.00°, β = 90.00°, γ = 90.00°
Space group P4/nmm (No. 129, origin choice 2)
Inequivalent atoms, fractional coordinates:
K (0.250, 0.250, 0.156) (multiplicity 2)
K (0.250, 0.750, 0.500) (multiplicity 2)
Br (0.250, 0.250, 0.817) (multiplicity 2)
F (0.250, 0.250, 0.414) (multiplicity 2)

Output
Crystal system = tetragonal
Polymorph energy (0 for the lowest one) = 0.0 meV/atom

***

[2]
K4Br3F12 after structural relaxation, computed with GGA-PBE.

a = 9.419 Å, b = 9.419 Å, c = 9.419 Å
α = 90.00°, β = 90.00°, γ = 90.00°
Space group Im-3 (No. 204)
Inequivalent atoms, fractional coordinates:
K (0.250, 0.250, 0.250) (multiplicity 8)
Br (0.000, 0.000, 0.500) (multiplicity 6)
F (0.000, 0.342, 0.143) (multiplicity 24)

Output
Crystal system = cubic

***

[3]
K2BrF after structural relaxation, computed with GGA-PBE.

a = 7.488 Å, b = 7.488 Å, c = 7.488 Å
α = 90.00°, β = 90.00°, γ = 90.00°
Space group Fm-3m (No. 225)
Inequivalent atoms, fractional coordinates:
K (0.250, 0.250, 0.250) (multiplicity 8)
Br (0.000, 0.000, 0.000) (multiplicity 4)
F (0.000, 0.000, 0.500) (multiplicity 4)

Output
Crystal system = cubic
Polymorph energy (0 for the lowest one) = 189.9 meV/atom

***

[4]
KBrF6 after structural relaxation, computed with GGA-PBE.

a = 5.5572 Å, b = 5.5572 Å, c = 15.3895 Å
α = 90.00°, β = 90.00°, γ = 120.00°
Space group R-3m (No. 166, hexagonal axes)
Inequivalent atoms, fractional coordinates:
K (0.0000, 0.0000, 0.0000) (multiplicity 3)
Br (0.0000, 0.0000, 0.5000) (multiplicity 3)
F (0.0133, 0.5067, 0.0944) (multiplicity 18)

Output
Crystal system = trigonal

***

[5]
KBrF4 after structural relaxation, computed with GGA-PBE.

a = 6.309 Å, b = 6.309 Å, c = 11.293 Å
α = 90.00°, β = 90.00°, γ = 90.00°
Space group I4/mcm (No. 140)
Inequivalent atoms, fractional coordinates:
K (0.000, 0.000, 0.250) (multiplicity 4)
Br (0.000, 0.500, 0.000) (multiplicity 4)
F (0.154, 0.346, 0.121) (multiplicity 16)

Output
Crystal system = tetragonal
Polymorph energy (0 for the lowest one) = 0.0 meV/atom

***

[6]
KBr2F11 after structural relaxation, computed with GGA-PBE.

a = 9.688 Å, b = 9.744 Å, c = 10.831 Å
α = 90.00°, β = 90.00°, γ = 90.00°
Space group Ibam (No. 72)
Inequivalent atoms, fractional coordinates:
K (0.000, 0.000, 0.250) (multiplicity 4)
Br (0.156, 0.341, 0.000) (multiplicity 8)
F (0.000, 0.500, 0.000) (multiplicity 4)
F (0.065, 0.240, 0.122) (multiplicity 16)
F (0.215, 0.291, 0.500) (multiplicity 8)
F (0.239, 0.071, 0.378) (multiplicity 16)

Output
Crystal system = orthorhombic

***

[7]
K2BrF5 after structural relaxation, computed with GGA-PBE.

a = 6.105 Å, b = 6.397 Å, c = 6.632 Å
α = 65.35°, β = 63.08°, γ = 61.67°
Space group P1 (No. 1)
Inequivalent atoms, fractional coordinates:
K (0.000, 0.000, 0.000) (multiplicity 1)
K (0.481, 0.586, 0.461) (multiplicity 1)
Br (0.237, 0.293, 0.231) (multiplicity 1)
F (0.025, 0.567, 0.376) (multiplicity 1)
F (0.201, 0.059, 0.536) (multiplicity 1)
F (0.272, 0.527, 0.926) (multiplicity 1)
F (0.448, 0.019, 0.085) (multiplicity 1)
F (0.736, 0.293, 0.231) (multiplicity 1)

Output
Crystal system = triclinic

***

[8]
K7BrF5 after structural relaxation, computed with GGA-PBE.

a = 12.868 Å, b = 3.920 Å, c = 27.226 Å
α = 90.00°, β = 90.41°, γ = 90.00°
Space group Cm (No. 8)
Inequivalent atoms, fractional coordinates:
K (0.000, 0.000, 0.000) (multiplicity 2)
K (0.001, 0.000, 0.557) (multiplicity 2)
K (0.015, 0.500, 0.877) (multiplicity 2)
K (0.019, 0.500, 0.680) (multiplicity 2)
K (0.209, 0.000, 0.377) (multiplicity 2)
K (0.212, 0.000, 0.179) (multiplicity 2)
K (0.226, 0.500, 0.057) (multiplicity 2)
K (0.226, 0.500, 0.500) (multiplicity 2)
K (0.271, 0.000, 0.940) (multiplicity 2)
K (0.274, 0.000, 0.617) (multiplicity 2)
K (0.279, 0.500, 0.778) (multiplicity 2)
K (0.448, 0.500, 0.278) (multiplicity 2)
K (0.453, 0.000, 0.440) (multiplicity 2)
K (0.455, 0.000, 0.117) (multiplicity 2)
Br (0.061, 0.000, 0.780) (multiplicity 2)
Br (0.166, 0.500, 0.277) (multiplicity 2)
F (0.093, 0.000, 0.465) (multiplicity 2)
F (0.095, 0.000, 0.092) (multiplicity 2)
F (0.132, 0.500, 0.965) (multiplicity 2)
F (0.134, 0.500, 0.592) (multiplicity 2)
F (0.317, 0.500, 0.415) (multiplicity 2)
F (0.321, 0.500, 0.141) (multiplicity 2)
F (0.363, 0.000, 0.028) (multiplicity 2)
F (0.364, 0.000, 0.528) (multiplicity 2)
F (0.405, 0.500, 0.915) (multiplicity 2)
F (0.410, 0.500, 0.641) (multiplicity 2)

Output
Crystal system = monoclinic

***

[9]
KBrF2 after structural relaxation, computed with GGA-PBE.

a = 4.3412 Å, b = 4.3412 Å, c = 12.3037 Å
α = 90.00°, β = 90.00°, γ = 120.00°
Space group P6_3/mmc (No. 194)
Inequivalent atoms, fractional coordinates:
K (0.0000, 0.0000, 0.0000) (multiplicity 2)
Br (0.3333, 0.6667, 0.2500) (multiplicity 2)
F (0.3333, 0.6667, 0.0870) (multiplicity 4)

Output
Crystal system = hexagonal
Polymorph energy (0 for the lowest one) = 0.0 meV/atom

***

[10]
K2BrF2 after structural relaxation, computed with GGA-PBE.

a = 7.812 Å, b = 7.812 Å, c = 3.445 Å
α = 90.00°, β = 90.00°, γ = 90.00°
Space group P4/mbm (No. 127)
Inequivalent atoms, fractional coordinates:
K (0.154, 0.346, 0.000) (multiplicity 4)
Br (0.000, 0.000, 0.500) (multiplicity 2)
F (0.143, 0.643, 0.500) (multiplicity 4)

Output
Crystal system = tetragonal
Polymorph energy (0 for the lowest one) = 0.0 meV/atom

***

[11]
KBr3F after structural relaxation, computed with GGA-PBE.

a = 5.128 Å, b = 5.128 Å, c = 5.128 Å
α = 90.00°, β = 90.00°, γ = 90.00°
Space group Pm-3m (No. 221)
Inequivalent atoms, fractional coordinates:
K (0.000, 0.000, 0.000) (multiplicity 1)
Br (0.000, 0.500, 0.500) (multiplicity 3)
F (0.500, 0.500, 0.500) (multiplicity 1)

Output
Crystal system = cubic
Polymorph energy (0 for the lowest one) = 0.0 meV/atom

***

[12]
K3Br2F after structural relaxation, computed with GGA-PBE.

a = 4.309 Å, b = 6.479 Å, c = 13.552 Å
α = 90.00°, β = 90.00°, γ = 90.00°
Space group Immm (No. 71)
Inequivalent atoms, fractional coordinates:
K (0.000, 0.000, 0.000) (multiplicity 2)
K (0.000, 0.000, 0.364) (multiplicity 4)
Br (0.000, 0.500, 0.327) (multiplicity 4)
F (0.000, 0.500, 0.000) (multiplicity 2)

Output
Crystal system = orthorhombic
Polymorph energy (0 for the lowest one) = 28.2 meV/atom

***

Across the entries above, E_tot takes the values -0.1340, -0.1243, -0.1270, -0.1196, -0.1248, -0.1132, -0.1284, -0.1370, -0.1253, -0.1258, -0.0779, -0.1259 hartree per atom, respectively.
Across the entries above, raw formation energy takes the values -2.212, -1.706, -2.022, -1.505, -1.685, -1.291, -1.842, -2.290, -1.780, -1.902, -0.523, -2.009 eV/atom, respectively.